[1]
Below is a PBEsol-optimized structure of HfTc3Mo, with properties calculated at the meta-GGA SCAN level.

```
data_HfTc3Mo
_symmetry_space_group_name_H-M 'P m -3 m'
_symmetry_Int_Tables_number 221
_symmetry_space_group_name_Hall '-P 4 2 3'
_cell_length_a 4.551
_cell_length_b 4.551
_cell_length_c 4.551
_cell_angle_alpha 90.00
_cell_angle_beta 90.00
_cell_angle_gamma 90.00
loop_
_atom_site_label
_atom_site_type_symbol
_atom_site_fract_x
_atom_site_fract_y
_atom_site_fract_z
Hf1 Hf 0.000 0.000 0.000
Tc1 Tc 0.000 0.500 0.500
Mo1 Mo 0.500 0.500 0.500
```

Output
DOS at the Fermi energy: 2.72 states/eV/cell
theoretical density: 10.01 g/cm3
E_form: 1.16 eV/atom

=====

[2]
Below is a PBEsol-optimized structure of KRe3Si, with properties calculated at the meta-GGA SCAN level.

```
data_KRe3Si
_symmetry_space_group_name_H-M 'P m -3 m'
_symmetry_Int_Tables_number 221
_symmetry_space_group_name_Hall '-P 4 2 3'
_cell_length_a 4.429
_cell_length_b 4.429
_cell_length_c 4.429
_cell_angle_alpha 90.00
_cell_angle_beta 90.00
_cell_angle_gamma 90.00
loop_
_atom_site_label
_atom_site_type_symbol
_atom_site_fract_x
_atom_site_fract_y
_atom_site_fract_z
K1 K 0.000 0.000 0.000
Re1 Re 0.000 0.000 0.500
Si1 Si 0.500 0.500 0.500
```

Output
E_form (uncorrected): 4.251 eV/atom
DOS at the Fermi energy: 4.02 states/eV/cell
theoretical density: 11.96 g/cm3

=====

[3]
Below is a PBEsol-optimized structure of LaIn2Ag, with properties calculated at the meta-GGA SCAN level.

```
data_LaIn2Ag
_symmetry_space_group_name_H-M 'R -3 m'
_symmetry_Int_Tables_number 166
_symmetry_space_group_name_Hall '-R 3 2"'
_cell_length_a 4.6596
_cell_length_b 4.6596
_cell_length_c 16.1753
_cell_angle_alpha 90.00
_cell_angle_beta 90.00
_cell_angle_gamma 120.00
loop_
_atom_site_label
_atom_site_type_symbol
_atom_site_fract_x
_atom_site_fract_y
_atom_site_fract_z
La1 La 0.0000 0.0000 0.0000
In1 In 0.0000 0.0000 0.2195
Ag1 Ag 0.0000 0.0000 0.5000
```

Output
DOS at the Fermi energy: 5.43 states/eV/cell
theoretical density: 7.80 g/cm3
E_form: -0.48 eV/atom

=====

[4]
Below is a PBEsol-optimized structure of Mg2SnBAu, with properties calculated at the meta-GGA SCAN level.

```
data_Mg2SnBAu
_symmetry_space_group_name_H-M 'P 4/m m m'
_symmetry_Int_Tables_number 123
_symmetry_space_group_name_Hall '-P 4 2'
_cell_length_a 5.260
_cell_length_b 5.260
_cell_length_c 5.079
_cell_angle_alpha 90.00
_cell_angle_beta 90.00
_cell_angle_gamma 90.00
loop_
_atom_site_label
_atom_site_type_symbol
_atom_site_fract_x
_atom_site_fract_y
_atom_site_fract_z
Mg1 Mg 0.000 0.500 0.000
Sn1 Sn 0.000 0.000 0.000
B1 B 0.500 0.500 0.500
Au1 Au 0.000 0.000 0.500
```

Output
DOS at the Fermi energy: 1.83 states/eV/cell
theoretical density: 4.43 g/cm3
E_form: 1.23 eV/atom

=====

[5]
Below is a PBEsol-optimized structure of TaPt2Au, with properties calculated at the meta-GGA SCAN level.

```
data_TaPt2Au
_symmetry_space_group_name_H-M 'I 4/m m m'
_symmetry_Int_Tables_number 139
_symmetry_space_group_name_Hall '-I 4 2'
_cell_length_a 3.979
_cell_length_b 3.979
_cell_length_c 7.947
_cell_angle_alpha 90.00
_cell_angle_beta 90.00
_cell_angle_gamma 90.00
loop_
_atom_site_label
_atom_site_type_symbol
_atom_site_fract_x
_atom_site_fract_y
_atom_site_fract_z
Ta1 Ta 0.000 0.000 0.000
Pt1 Pt 0.000 0.500 0.250
Au1 Au 0.000 0.000 0.500
```

Output
DOS at the Fermi energy: 3.60 states/eV/cell
theoretical density: 20.27 g/cm3
relative energy among the computed polymorphs: 0.0 meV per atom
E_form: -0.56 eV/atom

=====

[6]
Below is a PBEsol-optimized structure of Y4CuBr, with properties calculated at the meta-GGA SCAN level.

```
data_Y4CuBr
_symmetry_space_group_name_H-M 'F -4 3 m'
_symmetry_Int_Tables_number 216
_symmetry_space_group_name_Hall 'F -4 2 3'
_cell_length_a 8.814
_cell_length_b 8.814
_cell_length_c 8.814
_cell_angle_alpha 90.00
_cell_angle_beta 90.00
_cell_angle_gamma 90.00
loop_
_atom_site_label
_atom_site_type_symbol
_atom_site_fract_x
_atom_site_fract_y
_atom_site_fract_z
Y1 Y 0.124 0.124 0.124
Cu1 Cu 0.250 0.250 0.750
Br1 Br 0.000 0.000 0.500
```

Output
E_form (uncorrected): 0.602 eV/atom
DOS at the Fermi energy: 23.82 states/eV/cell
theoretical density: 4.84 g/cm3

=====

[7]
Below is a PBEsol-optimized structure of LiMg4Ni, with properties calculated at the meta-GGA SCAN level.

```
data_LiMg4Ni
_symmetry_space_group_name_H-M 'F -4 3 m'
_symmetry_Int_Tables_number 216
_symmetry_space_group_name_Hall 'F -4 2 3'
_cell_length_a 7.818
_cell_length_b 7.818
_cell_length_c 7.818
_cell_angle_alpha 90.00
_cell_angle_beta 90.00
_cell_angle_gamma 90.00
loop_
_atom_site_label
_atom_site_type_symbol
_atom_site_fract_x
_atom_site_fract_y
_atom_site_fract_z
Li1 Li 0.000 0.000 0.000
Mg1 Mg 0.124 0.124 0.624
Ni1 Ni 0.250 0.250 0.250
```

Output
DOS at the Fermi energy: 12.10 states/eV/cell
theoretical density: 2.26 g/cm3
E_form: 0.34 eV/atom

=====

[8]
Below is a PBEsol-optimized structure of In2HgSe, with properties calculated at the meta-GGA SCAN level.

```
data_In2HgSe
_symmetry_space_group_name_H-M 'P 4/m m m'
_symmetry_Int_Tables_number 123
_symmetry_space_group_name_Hall '-P 4 2'
_cell_length_a 3.605
_cell_length_b 3.605
_cell_length_c 7.379
_cell_angle_alpha 90.00
_cell_angle_beta 90.00
_cell_angle_gamma 90.00
loop_
_atom_site_label
_atom_site_type_symbol
_atom_site_fract_x
_atom_site_fract_y
_atom_site_fract_z
In1 In 0.000 0.000 0.231
Hg1 Hg 0.500 0.500 0.500
Se1 Se 0.500 0.500 0.000
```

Output
E_form (uncorrected): -0.143 eV/atom
DOS at the Fermi energy: 0.94 states/eV/cell
theoretical density: 8.82 g/cm3
relative energy among the computed polymorphs: 139.1 meV per atom

=====

[9]
Below is a PBEsol-optimized structure of HoCoC, with properties calculated at the meta-GGA SCAN level.

```
data_HoCoC
_symmetry_space_group_name_H-M 'P 42/m m c'
_symmetry_Int_Tables_number 131
_symmetry_space_group_name_Hall '-P 4c 2'
_cell_length_a 3.573
_cell_length_b 3.573
_cell_length_c 6.752
_cell_angle_alpha 90.00
_cell_angle_beta 90.00
_cell_angle_gamma 90.00
loop_
_atom_site_label
_atom_site_type_symbol
_atom_site_fract_x
_atom_site_fract_y
_atom_site_fract_z
Ho1 Ho 0.000 0.000 0.250
Co1 Co 0.500 0.500 0.000
C1 C 0.000 0.500 0.000
```

Output
DOS at the Fermi energy: 2.60 states/eV/cell
theoretical density: 9.09 g/cm3
E_form: -0.36 eV/atom

=====

[10]
Below is a PBEsol-optimized structure of Si2SnGePt, with properties calculated at the meta-GGA SCAN level.

```
data_Si2SnGePt
_symmetry_space_group_name_H-M 'P 4/m m m'
_symmetry_Int_Tables_number 123
_symmetry_space_group_name_Hall '-P 4 2'
_cell_length_a 4.546
_cell_length_b 4.546
_cell_length_c 5.561
_cell_angle_alpha 90.00
_cell_angle_beta 90.00
_cell_angle_gamma 90.00
loop_
_atom_site_label
_atom_site_type_symbol
_atom_site_fract_x
_atom_site_fract_y
_atom_site_fract_z
Si1 Si 0.000 0.500 0.000
Sn1 Sn 0.000 0.000 0.500
Ge1 Ge 0.500 0.500 0.500
Pt1 Pt 0.000 0.000 0.000
```

Output
E_form (uncorrected): 0.499 eV/atom
DOS at the Fermi energy: 2.88 states/eV/cell
theoretical density: 6.40 g/cm3

=====

[11]
Below is a PBEsol-optimized structure of CuP2Ru, with properties calculated at the meta-GGA SCAN level.

```
data_CuP2Ru
_symmetry_space_group_name_H-M 'R 3 m'
_symmetry_Int_Tables_number 160
_symmetry_space_group_name_Hall 'R 3 -2"'
_cell_length_a 2.9664
_cell_length_b 2.9664
_cell_length_c 20.6298
_cell_angle_alpha 90.00
_cell_angle_beta 90.00
_cell_angle_gamma 120.00
loop_
_atom_site_label
_atom_site_type_symbol
_atom_site_fract_x
_atom_site_fract_y
_atom_site_fract_z
Cu1 Cu 0.0000 0.0000 0.0000
P1 P 0.0000 0.0000 0.4906
P2 P 0.0000 0.0000 0.7416
Ru1 Ru 0.0000 0.0000 0.2321
```

Output
DOS at the Fermi energy: 8.16 states/eV/cell
theoretical density: 7.18 g/cm3
relative energy among the computed polymorphs: 198.4 meV per atom
E_form: 0.15 eV/atom

=====

[12]
Below is a PBEsol-optimized structure of AlSiIr, with properties calculated at the meta-GGA SCAN level.

```
data_AlSiIr
_symmetry_space_group_name_H-M 'F -4 3 m'
_symmetry_Int_Tables_number 216
_symmetry_space_group_name_Hall 'F -4 2 3'
_cell_length_a 5.744
_cell_length_b 5.744
_cell_length_c 5.744
_cell_angle_alpha 90.00
_cell_angle_beta 90.00
_cell_angle_gamma 90.00
loop_
_atom_site_label
_atom_site_type_symbol
_atom_site_fract_x
_atom_site_fract_y
_atom_site_fract_z
Al1 Al 0.000 0.000 0.000
Si1 Si 0.000 0.000 0.500
Ir1 Ir 0.250 0.250 0.250
```

Output
E_form (uncorrected): -0.780 eV/atom
DOS at the Fermi energy: 6.24 states/eV/cell
theoretical density: 8.67 g/cm3